No. 1
Computed, not measured: a relaxed AlIn3As crystal at the PBE level of DFT.

M_tot (Bohr magnetons per cell): 0.0
Energy of formation (meV per atom): 463
ΔE to the lowest computed polymorph (meV/atom): 0.0

Cell: 5.261 5.261 5.261 Å, 90.00 90.00 90.00°
Sites, in units of the cell vectors:
In 0.000 0.500 0.000
In 0.500 0.000 0.000
In 0.000 0.000 0.500
Al 0.000 0.000 0.000
As 0.500 0.500 0.500

No. 2
Computed, not measured: a relaxed NdPbAu6 crystal at the PBE level of DFT.

M_tot (Bohr magnetons per cell): 0.0
Energy of formation (meV per atom): -281

Cell: 5.584 5.584 5.584 Å, 90.00 90.00 90.00°
Sites, in units of the cell vectors:
Au 0.000 0.500 0.750
Au 0.750 0.000 0.500
Au 0.500 0.750 0.000
Au 0.000 0.500 0.250
Au 0.500 0.250 0.000
Au 0.250 0.000 0.500
Pb 0.000 0.000 0.000
Nd 0.500 0.500 0.500